# NaFeIr, optimized geometry, DFT PBE
# Spin magnetization: 1.096 μB per atom
# Formation enthalpy at 0 K: 0.93 eV/f.u.
# DOS at the Fermi energy: 1.06 states/eV per atom
# Electronic total energy: -70.87 eV per cell
# Excess energy over the best structure of this formula in the dataset: 0.0481 eV per atom
data_NaFeIr
_symmetry_space_group_name_H-M 'I m m a'
_symmetry_Int_Tables_number 74
_symmetry_space_group_name_Hall '-I 2b 2'
_cell_length_a 5.217
_cell_length_b 5.236
_cell_length_c 7.265
_cell_angle_alpha 90.00
_cell_angle_beta 90.00
_cell_angle_gamma 90.00
loop_
_atom_site_label
_atom_site_fract_x
_atom_site_fract_y
_atom_site_fract_z
Na1 0.000 0.250 0.128
Fe1 0.250 0.250 0.750
Ir1 0.000 0.000 0.500

# Sr2LaNd, optimized geometry, DFT PBE
# Spin magnetization: 0.177 μB per atom
# Formation enthalpy at 0 K: 1.13 eV/f.u.
# DOS at the Fermi energy: 1.80 states/eV per atom
# Electronic total energy: -35.79 eV per cell
data_Sr2LaNd
_symmetry_space_group_name_H-M 'R -3 m'
_symmetry_Int_Tables_number 166
_symmetry_space_group_name_Hall '-R 3 2"'
_cell_length_a 3.7974
_cell_length_b 3.7974
_cell_length_c 41.7213
_cell_angle_alpha 90.00
_cell_angle_beta 90.00
_cell_angle_gamma 120.00
loop_
_atom_site_label
_atom_site_fract_x
_atom_site_fract_y
_atom_site_fract_z
Sr1 0.0000 0.0000 0.0874
La1 0.0000 0.0000 0.5000
Nd1 0.0000 0.0000 0.0000

# Tl3In7Se10, optimized geometry, DFT PBE
# Spin magnetization: 0.000 μB per atom
# Electronic total energy: -141.93 eV per cell
# Energy relative to the elements, uncorrected: -0.493 eV/atom
data_Tl3In7Se10
_symmetry_space_group_name_H-M 'P -1'
_symmetry_Int_Tables_number 2
_cell_length_a 6.764
_cell_length_b 10.751
_cell_length_c 16.639
_cell_angle_alpha 102.30
_cell_angle_beta 91.11
_cell_angle_gamma 97.75
loop_
_symmetry_equiv_pos_as_xyz
'x,y,z'
'-x,-y,-z'
loop_
_atom_site_label
_atom_site_fract_x
_atom_site_fract_y
_atom_site_fract_z
Tl1 0.155 0.103 0.450
Tl2 0.249 0.500 0.750
Tl3 0.345 0.897 0.050
In1 0.047 0.701 0.151
In2 0.050 0.200 0.150
In3 0.151 0.600 0.450
In4 0.249 0.001 0.750
In5 0.351 0.400 0.051
In6 0.452 0.299 0.348
In7 0.452 0.799 0.350
Se1 0.036 0.638 0.603
Se2 0.060 0.768 0.365
Se3 0.143 0.031 0.234
Se4 0.166 0.163 0.997
Se5 0.235 0.438 0.204
Se6 0.257 0.568 0.965
Se7 0.341 0.831 0.834
Se8 0.365 0.962 0.597
Se9 0.433 0.238 0.804
Se10 0.458 0.370 0.566

Please write out number 3 again, unchanged.
# Tl3In7Se10, optimized geometry, DFT PBE
# Spin magnetization: 0.000 μB per atom
# Electronic total energy: -141.93 eV per cell
# Energy relative to the elements, uncorrected: -0.493 eV/atom
data_Tl3In7Se10
_symmetry_space_group_name_H-M 'P -1'
_symmetry_Int_Tables_number 2
_cell_length_a 6.764
_cell_length_b 10.751
_cell_length_c 16.639
_cell_angle_alpha 102.30
_cell_angle_beta 91.11
_cell_angle_gamma 97.75
loop_
_symmetry_equiv_pos_as_xyz
'x,y,z'
'-x,-y,-z'
loop_
_atom_site_label
_atom_site_fract_x
_atom_site_fract_y
_atom_site_fract_z
Tl1 0.155 0.103 0.450
Tl2 0.249 0.500 0.750
Tl3 0.345 0.897 0.050
In1 0.047 0.701 0.151
In2 0.050 0.200 0.150
In3 0.151 0.600 0.450
In4 0.249 0.001 0.750
In5 0.351 0.400 0.051
In6 0.452 0.299 0.348
In7 0.452 0.799 0.350
Se1 0.036 0.638 0.603
Se2 0.060 0.768 0.365
Se3 0.143 0.031 0.234
Se4 0.166 0.163 0.997
Se5 0.235 0.438 0.204
Se6 0.257 0.568 0.965
Se7 0.341 0.831 0.834
Se8 0.365 0.962 0.597
Se9 0.433 0.238 0.804
Se10 0.458 0.370 0.566